1.
# TcTe3Au

An optimized crystal structure of TcTe3Au (PBE-GGA, Alexandria).

Summary:
- space-group type = Pm-3m, No. 221
- density of states at the Fermi level (states/eV/f.u.) = 5.84
- M_tot (μB per cell) = 0.0

a b c (Å): 5.1958 5.1958 5.1958
angles (deg): 90.00 90.00 90.00
With the nearest neighbours (Å) after each atom.
Positions (direct):
Te (0.0000, 0.5000, 0.0000)  2 Tc 2.60
Te (0.5000, 0.0000, 0.0000)  2 Tc 2.60
Te (0.0000, 0.0000, 0.5000)  2 Tc 2.60
Tc (0.0000, 0.0000, 0.0000)  6 Te 2.60
Au (0.5000, 0.5000, 0.5000)  12 Te 3.67

2.
# TcTe3Au

An optimized crystal structure of TcTe3Au (PBE-GGA, Alexandria).

Summary:
- space-group type = Pm-3m, No. 221
- density of states at the Fermi level (states/eV/f.u.) = 4.94
- M_tot (μB per cell) = 4.4

a b c (Å): 5.4081 5.4081 5.4081
angles (deg): 90.00 90.00 90.00
With the nearest neighbours (Å) after each atom.
Positions (direct):
Tc (0.5000, 0.5000, 0.5000)  12 Te 3.82
Te (0.0000, 0.5000, 0.0000)  2 Au 2.70
Te (0.5000, 0.0000, 0.0000)  2 Au 2.70
Te (0.0000, 0.0000, 0.5000)  2 Au 2.70
Au (0.0000, 0.0000, 0.0000)  6 Te 2.70

Order from most stable to least stable according to the calculation: 1, 2